Computed, not measured: an optimized crystal structure of YCd2Te2 at the PBE level of DFT.

abc: 8.0708 8.0708 4.3797
angles: 90.00 90.00 90.00
Last column: nearest neighbours and their distance in Å.
Positions (direct):
Y 0.0000 0.0000 0.0000  4 Te 3.03
Y 0.5000 0.5000 0.0000  4 Te 3.03
Te 0.3394 0.8394 0.0000  2 Y 3.03, 6 Cd 3.06-3.34
Te 0.8394 0.6606 0.0000  2 Y 3.03, 6 Cd 3.06-3.34
Te 0.6606 0.1606 0.0000  2 Y 3.03, 6 Cd 3.06-3.34
Te 0.1606 0.3394 0.0000  2 Y 3.03, 6 Cd 3.06-3.34
Cd 0.1524 0.6524 0.5000  6 Te 3.06-3.34
Cd 0.6524 0.8476 0.5000  6 Te 3.06-3.34
Cd 0.8476 0.3476 0.5000  6 Te 3.06-3.34
Cd 0.3476 0.1524 0.5000  6 Te 3.06-3.34

Output
DOS(E_F) = 4.24 states/eV per cell
Total moment = 0.000 μB per atom
E_form (uncorrected) = -0.414 eV/atom
Energy above the lowest structure with this stoichiometry = 109.9 meV per atom